# 1
The following is a GGA+U calculation of a relaxed structure of FeH12C5NCl2O5, from Alexandria.

Values from the calculation:
**Calculated volume**: 12.8 Å³/atom
**Crystal system**: monoclinic
**E**: -584.31 eV per cell

a b c (Å): 8.7993 8.2710 18.2486
angles (deg): 87.44 90.00 90.00
Positions (direct):
H: 0.4902 0.4915 0.8756
H: 0.2737 0.4103 0.5374
H: 0.4576 0.3857 0.2042
H: 0.5252 0.8047 0.3395
H: 0.7737 0.5897 0.9626
H: 0.6442 0.3227 0.3132
H: 0.0424 0.3857 0.7042
H: 0.9902 0.5085 0.6244
H: 0.2948 0.6148 0.0413
H: 0.8962 0.4339 0.9310
H: 0.2263 0.4103 0.0374
H: 0.9576 0.6143 0.2958
H: 0.1442 0.6773 0.1868
H: 0.2052 0.6148 0.5413
H: 0.2941 0.5999 0.2457
H: 0.7941 0.4001 0.2543
H: 0.8921 0.8176 0.7639
H: 0.4748 0.1953 0.6605
H: 0.7059 0.4001 0.7543
H: 0.6608 0.2741 0.8334
H: 0.7263 0.5897 0.4626
H: 0.3921 0.1824 0.7361
H: 0.6038 0.4339 0.4310
H: 0.3558 0.6773 0.6868
H: 0.1038 0.5661 0.0690
H: 0.7052 0.3852 0.9587
H: 0.0675 0.3092 0.6151
H: 0.9325 0.6908 0.3849
H: 0.5098 0.5085 0.1244
H: 0.2059 0.5999 0.7457
H: 0.8022 0.6036 0.8328
H: 0.7948 0.3852 0.4587
H: 0.8558 0.3227 0.8132
H: 0.3962 0.5661 0.5690
H: 0.4325 0.3092 0.1151
H: 0.1079 0.1824 0.2361
H: 0.5675 0.6908 0.8849
H: 0.3022 0.3964 0.6672
H: 0.0098 0.4915 0.3756
H: 0.1608 0.7259 0.6666
H: 0.6978 0.6036 0.3328
H: 0.0252 0.1953 0.1605
H: 0.8392 0.2741 0.3334
H: 0.1978 0.3964 0.1672
H: 0.9748 0.8047 0.8395
H: 0.5424 0.6143 0.7958
H: 0.3392 0.7259 0.1666
H: 0.6079 0.8176 0.2639
O: 0.4507 0.1786 0.9498
O: 0.9497 0.0616 0.0876
O: 0.4497 0.9384 0.4124
O: 0.1534 0.1279 0.0168
O: 0.5503 0.0616 0.5876
O: 0.9268 0.7385 0.8023
O: 0.0503 0.9384 0.9124
O: 0.6545 0.1220 0.0220
O: 0.4268 0.2615 0.6977
O: 0.6534 0.8721 0.4832
O: 0.3455 0.8780 0.9780
O: 0.5493 0.8214 0.0502
O: 0.5732 0.7385 0.3023
O: 0.0493 0.1786 0.4498
O: 0.3466 0.1279 0.5168
O: 0.8466 0.8721 0.9832
O: 0.9507 0.8214 0.5502
O: 0.1545 0.8780 0.4780
O: 0.0732 0.2615 0.1977
O: 0.8455 0.1220 0.5220
C: 0.4695 0.9138 0.0080
C: 0.7213 0.4779 0.4327
C: 0.7614 0.3672 0.3109
C: 0.9295 0.5820 0.3530
C: 0.4295 0.4180 0.1470
C: 0.0305 0.9138 0.5080
C: 0.2787 0.5221 0.5673
C: 0.4698 0.0546 0.5298
C: 0.2213 0.5221 0.0673
C: 0.5302 0.9454 0.4702
C: 0.9695 0.0862 0.4920
C: 0.7386 0.3672 0.8109
C: 0.5705 0.5820 0.8530
C: 0.7787 0.4779 0.9327
C: 0.0705 0.4180 0.6470
C: 0.2386 0.6328 0.6891
C: 0.0302 0.0546 0.0298
C: 0.9698 0.9454 0.9702
C: 0.5305 0.0862 0.9920
C: 0.2614 0.6328 0.1891
Cl: 0.6620 0.6853 0.6377
Cl: 0.1620 0.3147 0.8623
Cl: 0.1534 0.9654 0.3091
Cl: 0.8466 0.0346 0.6909
Cl: 0.3380 0.3147 0.3623
Cl: 0.8380 0.6853 0.1377
Cl: 0.6534 0.0346 0.1909
Cl: 0.3466 0.9654 0.8091
N: 0.7729 0.5132 0.3557
N: 0.7271 0.5132 0.8557
N: 0.2271 0.4868 0.6443
N: 0.2729 0.4868 0.1443
Fe: 0.7515 0.9243 0.5881
Fe: 0.2485 0.0757 0.4119
Fe: 0.7485 0.9243 0.0881
Fe: 0.2515 0.0757 0.9119

=====

# 2
The following is a GGA+U calculation of a relaxed structure of FeH5CNCl2O2, from Alexandria.

Values from the calculation:
**Calculated volume**: 12.9 Å³/atom
**Crystal system**: monoclinic
**E**: -256.04 eV per cell

a b c (Å): 6.9169 6.9512 13.5136
angles (deg): 78.42 101.65 97.52
Positions (direct):
H: 0.2500 0.0037 0.6654
H: 0.2392 0.0315 0.2537
H: 0.3761 0.9268 0.3658
H: 0.7500 0.4963 0.8346
H: 0.2500 0.5037 0.1653
H: 0.8761 0.0853 0.6463
H: 0.1239 0.9147 0.3537
H: 0.2392 0.5314 0.7538
H: 0.6239 0.5731 0.1342
H: 0.7500 0.9963 0.3346
H: 0.8760 0.5853 0.1463
H: 0.6239 0.0732 0.6342
H: 0.1240 0.4147 0.8537
H: 0.7608 0.4685 0.2462
H: 0.3761 0.4268 0.8658
H: 0.2608 0.1351 0.3574
H: 0.7391 0.3649 0.1426
H: 0.2609 0.6351 0.8574
H: 0.7391 0.8649 0.6426
H: 0.7608 0.9685 0.7463
Cl: 0.1922 0.4548 0.3674
Cl: 0.3078 0.6762 0.5888
Cl: 0.8079 0.5452 0.6325
Cl: 0.6922 0.3238 0.4112
Cl: 0.6922 0.8238 0.9112
Cl: 0.3078 0.1762 0.0888
Cl: 0.1921 0.9548 0.8674
Cl: 0.8078 0.0452 0.1326
O: 0.9134 0.2709 0.9069
O: 0.0866 0.2291 0.5931
O: 0.4134 0.2249 0.5889
O: 0.9134 0.7709 0.4069
O: 0.0866 0.7290 0.0931
O: 0.5866 0.2751 0.9111
O: 0.5866 0.7752 0.4111
O: 0.4134 0.7248 0.0889
Fe: 0.0000 0.5000 0.5000
Fe: 0.5000 0.5000 0.5000
Fe: 0.5000 0.0000 0.0000
Fe: 0.0000 0.0000 0.0000
C: 0.2500 0.6510 0.1163
C: 0.7500 0.8489 0.3837
C: 0.2500 0.1511 0.6163
C: 0.7500 0.3489 0.8837
N: 0.7499 0.4985 0.1671
N: 0.2501 0.5014 0.8329
N: 0.2500 0.0015 0.3329
N: 0.7500 0.9986 0.6671